The following is a PBE calculation of crystalline ZnSb2Au at its relaxed geometry, from Alexandria via LeMat-Bulk.

Unit cell a=3.5629 b=3.5629 c=7.5509 alpha=90.00 beta=90.00 gamma=100.67
Last column: nearest neighbours and their distance in Å.
Atoms (fractional coordinates):
Zn  0.0000  0.0000  0.0000  2 Au 2.65, 2 Sb 2.80
Sb  0.0000  0.0000  0.5994  2 Au 2.82, 1 Zn 3.02
Sb  0.5000  0.5000  0.2155  2 Zn 2.80, 1 Au 2.98
Au  0.5000  0.5000  0.8203  2 Zn 2.65, 2 Sb 2.82

Output
DOS(E_F) (states/eV per atom): 0.56
Uncorrected formation energy (meV/atom): 87

***

The following is a PBE calculation of crystalline ZnSb2Au at its relaxed geometry, from Alexandria via LeMat-Bulk.

Unit cell a=3.2747 b=4.1665 c=6.5643 alpha=90.00 beta=90.00 gamma=90.00
Last column: nearest neighbours and their distance in Å.
Atoms (fractional coordinates):
Zn  0.0000  0.0000  0.0000  8 Sb 3.11, 2 Zn 3.27, 2 Au 3.28
Sb  0.5000  0.5000  0.2474  4 Zn 3.11, 4 Au 3.13, 4 Sb 3.25-3.32
Sb  0.5000  0.5000  0.7526  4 Zn 3.11, 4 Au 3.13, 4 Sb 3.25-3.32
Au  0.0000  0.0000  0.5000  8 Sb 3.13, 2 Au 3.27, 2 Zn 3.28

Output
DOS(E_F) (states/eV per atom): 0.39
Uncorrected formation energy (meV/atom): 196

***

The following is a PBE calculation of crystalline Zn2SbAu at its relaxed geometry, from Alexandria via LeMat-Bulk.

Unit cell a=3.2726 b=3.2726 c=7.2090 alpha=90.00 beta=90.00 gamma=90.00
Last column: nearest neighbours and their distance in Å.
Atoms (fractional coordinates):
Zn  0.0000  0.0000  0.0000  4 Zn 2.72, 1 Au 2.88
Zn  0.5000  0.5000  0.1996  4 Au 2.72, 4 Zn 2.72
Sb  0.5000  0.5000  0.7107  4 Zn 3.12, 4 Au 3.23, 4 Sb 3.27
Au  0.0000  0.0000  0.3989  5 Zn 2.72-2.88

Output
DOS(E_F) (states/eV per atom): 0.42
Uncorrected formation energy (meV/atom): 88

***

The following is a PBE calculation of crystalline Zn2SbAu at its relaxed geometry, from Alexandria via LeMat-Bulk.

Unit cell a=7.7724 b=7.7724 c=7.7724 alpha=136.98 beta=136.98 gamma=62.47
Last column: nearest neighbours and their distance in Å.
Atoms (fractional coordinates):
Zn  0.1226  0.6250  0.9976  2 Au 2.60, 2 Sb 2.62
Zn  0.3750  0.3726  0.4976  2 Au 2.60, 2 Sb 2.62
Zn  0.6274  0.1250  0.0024  2 Au 2.60, 2 Sb 2.62
Zn  0.8750  0.8774  0.5024  2 Au 2.60, 2 Sb 2.62
Sb  0.2500  0.7500  0.5000  4 Zn 2.62
Sb  0.5000  0.5000  0.0000  4 Zn 2.62
Au  0.0000  0.0000  0.0000  4 Zn 2.60
Au  0.7500  0.2500  0.5000  4 Zn 2.60

Output
DOS(E_F) (states/eV per atom): 0.00
Uncorrected formation energy (meV/atom): 121

***

The following is a PBE calculation of crystalline Zn2SbAu at its relaxed geometry, from Alexandria via LeMat-Bulk.

Unit cell a=4.3233 b=4.3233 c=4.1191 alpha=90.00 beta=90.00 gamma=90.00
Last column: nearest neighbours and their distance in Å.
Atoms (fractional coordinates):
Zn  0.0000  0.5000  0.0000  4 Sb 2.99, 4 Au 2.99, 4 Zn 3.06
Zn  0.5000  0.0000  0.0000  4 Sb 2.99, 4 Au 2.99, 4 Zn 3.06
Sb  0.0000  0.0000  0.5000  8 Zn 2.99, 4 Au 3.06
Au  0.5000  0.5000  0.5000  8 Zn 2.99, 4 Sb 3.06

Output
DOS(E_F) (states/eV per atom): 0.32
Uncorrected formation energy (meV/atom): 70

***

The following is a PBE calculation of crystalline ZnSb2Au2 at its relaxed geometry, from Alexandria via LeMat-Bulk.

Unit cell a=7.1720 b=7.1720 c=4.2944 alpha=90.00 beta=90.00 gamma=90.00
Last column: nearest neighbours and their distance in Å.
Atoms (fractional coordinates):
Zn  0.0000  0.0000  0.0000  4 Au 2.76
Zn  0.5000  0.5000  0.0000  4 Au 2.76
Sb  0.1711  0.3289  0.5000  6 Au 2.86-3.12
Sb  0.3289  0.8289  0.5000  6 Au 2.86-3.12
Sb  0.6711  0.1711  0.5000  6 Au 2.86-3.12
Sb  0.8289  0.6711  0.5000  6 Au 2.86-3.12
Au  0.1425  0.6425  0.0000  2 Zn 2.76, 2 Sb 2.86, 1 Au 2.89
Au  0.3575  0.1425  0.0000  2 Zn 2.76, 2 Sb 2.86, 1 Au 2.89
Au  0.6425  0.8575  0.0000  2 Zn 2.76, 2 Sb 2.86, 1 Au 2.89
Au  0.8575  0.3575  0.0000  2 Zn 2.76, 2 Sb 2.86, 1 Au 2.89

Output
DOS(E_F) (states/eV per atom): 0.35
Uncorrected formation energy (meV/atom): 72

***

The following is a PBE calculation of crystalline ZnSb2Au at its relaxed geometry, from Alexandria via LeMat-Bulk.

Unit cell a=3.3668 b=3.3668 c=8.3203 alpha=90.00 beta=90.00 gamma=105.04
Last column: nearest neighbours and their distance in Å.
Atoms (fractional coordinates):
Zn  0.0000  0.0000  0.0000  4 Sb 2.94
Sb  0.5000  0.5000  0.2531  2 Au 2.90, 2 Zn 2.94
Sb  0.5000  0.5000  0.7469  2 Au 2.90, 2 Zn 2.94
Au  0.0000  0.0000  0.5000  4 Sb 2.90

Output
DOS(E_F) (states/eV per atom): 0.40
Uncorrected formation energy (meV/atom): 162

***

The following is a PBE calculation of crystalline ZnSb2Au2 at its relaxed geometry, from Alexandria via LeMat-Bulk.

Unit cell a=7.7215 b=7.7215 c=3.9069 alpha=90.00 beta=90.00 gamma=90.00
Last column: nearest neighbours and their distance in Å.
Atoms (fractional coordinates):
Zn  0.0000  0.0000  0.0000  4 Sb 2.83
Zn  0.5000  0.5000  0.0000  4 Sb 2.83
Sb  0.1816  0.3184  0.0000  2 Zn 2.83, 6 Au 2.85-3.12
Sb  0.3184  0.8184  0.0000  2 Zn 2.83, 6 Au 2.85-3.12
Sb  0.6816  0.1816  0.0000  2 Zn 2.83, 6 Au 2.85-3.12
Sb  0.8184  0.6816  0.0000  2 Zn 2.83, 6 Au 2.85-3.12
Au  0.1289  0.6289  0.5000  1 Au 2.82, 6 Sb 2.85-3.12
Au  0.3711  0.1289  0.5000  1 Au 2.82, 6 Sb 2.85-3.12
Au  0.6289  0.8711  0.5000  1 Au 2.82, 6 Sb 2.85-3.12
Au  0.8711  0.3711  0.5000  1 Au 2.82, 6 Sb 2.85-3.12

Output
DOS(E_F) (states/eV per atom): 0.50
Uncorrected formation energy (meV/atom): 121

***

The following is a PBE calculation of crystalline ZnSb2Au at its relaxed geometry, from Alexandria via LeMat-Bulk.

Unit cell a=4.5580 b=4.5580 c=6.3336 alpha=109.26 beta=109.26 gamma=51.32
Last column: nearest neighbours and their distance in Å.
Atoms (fractional coordinates):
Zn  0.0000  0.0000  0.0000  3 Au 2.66-2.83, 3 Sb 2.66-2.94
Sb  0.4734  0.4734  0.5912  3 Au 2.75-2.90, 2 Sb 3.06
Sb  0.7764  0.7764  0.2165  3 Zn 2.66-2.94
Au  0.2411  0.2411  0.8121  3 Zn 2.66-2.83, 3 Sb 2.75-2.90

Output
DOS(E_F) (states/eV per atom): 0.42
Uncorrected formation energy (meV/atom): -10

***

The following is a PBE calculation of crystalline Zn3Sb5Au12 at its relaxed geometry, from Alexandria via LeMat-Bulk.

Unit cell a=13.6273 b=13.6273 c=13.6273 alpha=109.47 beta=109.47 gamma=109.47
Last column: nearest neighbours and their distance in Å.
Atoms (fractional coordinates):
Zn  0.1250  0.2500  0.3750  8 Au 2.74-2.86
Zn  0.1250  0.3750  0.7500  8 Au 2.74-2.86
Zn  0.2500  0.3750  0.1250  8 Au 2.74-2.86
Zn  0.2500  0.8750  0.6250  8 Au 2.74-2.86
Zn  0.3750  0.1250  0.2500  8 Au 2.74-2.86
Zn  0.3750  0.7500  0.1250  8 Au 2.74-2.86
Zn  0.6250  0.2500  0.8750  8 Au 2.74-2.86
Zn  0.6250  0.8750  0.7500  8 Au 2.74-2.86
Zn  0.7500  0.1250  0.3750  8 Au 2.74-2.86
Zn  0.7500  0.6250  0.8750  8 Au 2.74-2.86
Zn  0.8750  0.6250  0.2500  8 Au 2.74-2.86
Zn  0.8750  0.7500  0.6250  8 Au 2.74-2.86
Sb  0.0000  0.0000  0.0000  6 Au 2.72
Sb  0.0000  0.0000  0.5000  6 Au 2.72
Sb  0.0000  0.5000  0.0000  6 Au 2.72
Sb  0.0000  0.5000  0.5000  6 Au 2.72
Sb  0.1250  0.7500  0.8750  4 Au 2.68
Sb  0.1250  0.8750  0.2500  4 Au 2.68
Sb  0.2500  0.1250  0.8750  4 Au 2.68
Sb  0.2500  0.6250  0.3750  4 Au 2.68
Sb  0.3750  0.2500  0.6250  4 Au 2.68
Sb  0.3750  0.6250  0.7500  4 Au 2.68
Sb  0.5000  0.0000  0.0000  6 Au 2.72
Sb  0.5000  0.0000  0.5000  6 Au 2.72
Sb  0.5000  0.5000  0.0000  6 Au 2.72
Sb  0.5000  0.5000  0.5000  6 Au 2.72
Sb  0.6250  0.3750  0.2500  4 Au 2.68
Sb  0.6250  0.7500  0.3750  4 Au 2.68
Sb  0.7500  0.3750  0.6250  4 Au 2.68
Sb  0.7500  0.8750  0.1250  4 Au 2.68
Sb  0.8750  0.1250  0.7500  4 Au 2.68
Sb  0.8750  0.2500  0.1250  4 Au 2.68
Au  0.0704  0.2326  0.1462  2 Sb 2.68-2.72, 1 Au 2.74, 2 Zn 2.74-2.86
Au  0.0704  0.3378  0.9242  2 Sb 2.68-2.72, 1 Au 2.74, 2 Zn 2.74-2.86
Au  0.0758  0.6462  0.4136  2 Sb 2.68-2.72, 1 Au 2.74, 2 Zn 2.74-2.86
Au  0.0758  0.9296  0.6622  2 Sb 2.68-2.72, 1 Au 2.74, 2 Zn 2.74-2.86
Au  0.0864  0.7326  0.6622  2 Sb 2.68-2.72, 1 Au 2.74, 2 Zn 2.74-2.86
Au  0.0864  0.8538  0.4242  2 Sb 2.68-2.72, 1 Au 2.74, 2 Zn 2.74-2.86
Au  0.1462  0.0704  0.2326  2 Sb 2.68-2.72, 1 Au 2.74, 2 Zn 2.74-2.86
Au  0.1462  0.5758  0.9136  2 Sb 2.68-2.72, 1 Au 2.74, 2 Zn 2.74-2.86
Au  0.1622  0.2326  0.5864  2 Sb 2.68-2.72, 1 Au 2.74, 2 Zn 2.74-2.86
Au  0.1622  0.4296  0.5758  2 Sb 2.68-2.72, 1 Au 2.74, 2 Zn 2.74-2.86
Au  0.2326  0.1462  0.0704  2 Sb 2.68-2.72, 1 Au 2.74, 2 Zn 2.74-2.86
Au  0.2326  0.5864  0.1622  2 Sb 2.68-2.72, 1 Au 2.74, 2 Zn 2.74-2.86
Au  0.2674  0.3378  0.9136  2 Sb 2.68-2.72, 1 Au 2.74, 2 Zn 2.74-2.86
Au  0.2674  0.4296  0.3538  2 Sb 2.68-2.72, 1 Au 2.74, 2 Zn 2.74-2.86
Au  0.3378  0.9136  0.2674  2 Sb 2.68-2.72, 1 Au 2.74, 2 Zn 2.74-2.86
Au  0.3378  0.9242  0.0704  2 Sb 2.68-2.72, 1 Au 2.74, 2 Zn 2.74-2.86
Au  0.3538  0.2674  0.4296  2 Sb 2.68-2.72, 1 Au 2.74, 2 Zn 2.74-2.86
Au  0.3538  0.5864  0.9242  2 Sb 2.68-2.72, 1 Au 2.74, 2 Zn 2.74-2.86
Au  0.4136  0.0758  0.6462  2 Sb 2.68-2.72, 1 Au 2.74, 2 Zn 2.74-2.86
Au  0.4136  0.8378  0.7674  2 Sb 2.68-2.72, 1 Au 2.74, 2 Zn 2.74-2.86
Au  0.4242  0.0864  0.8538  2 Sb 2.68-2.72, 1 Au 2.74, 2 Zn 2.74-2.86
Au  0.4242  0.8378  0.5704  2 Sb 2.68-2.72, 1 Au 2.74, 2 Zn 2.74-2.86
Au  0.4296  0.3538  0.2674  2 Sb 2.68-2.72, 1 Au 2.74, 2 Zn 2.74-2.86
Au  0.4296  0.5758  0.1622  2 Sb 2.68-2.72, 1 Au 2.74, 2 Zn 2.74-2.86
Au  0.5704  0.4242  0.8378  2 Sb 2.68-2.72, 1 Au 2.74, 2 Zn 2.74-2.86
Au  0.5704  0.6462  0.7326  2 Sb 2.68-2.72, 1 Au 2.74, 2 Zn 2.74-2.86
Au  0.5758  0.1622  0.4296  2 Sb 2.68-2.72, 1 Au 2.74, 2 Zn 2.74-2.86
Au  0.5758  0.9136  0.1462  2 Sb 2.68-2.72, 1 Au 2.74, 2 Zn 2.74-2.86
Au  0.5864  0.1622  0.2326  2 Sb 2.68-2.72, 1 Au 2.74, 2 Zn 2.74-2.86
Au  0.5864  0.9242  0.3538  2 Sb 2.68-2.72, 1 Au 2.74, 2 Zn 2.74-2.86
Au  0.6462  0.4136  0.0758  2 Sb 2.68-2.72, 1 Au 2.74, 2 Zn 2.74-2.86
Au  0.6462  0.7326  0.5704  2 Sb 2.68-2.72, 1 Au 2.74, 2 Zn 2.74-2.86
Au  0.6622  0.0758  0.9296  2 Sb 2.68-2.72, 1 Au 2.74, 2 Zn 2.74-2.86
Au  0.6622  0.0864  0.7326  2 Sb 2.68-2.72, 1 Au 2.74, 2 Zn 2.74-2.86
Au  0.7326  0.5704  0.6462  2 Sb 2.68-2.72, 1 Au 2.74, 2 Zn 2.74-2.86
Au  0.7326  0.6622  0.0864  2 Sb 2.68-2.72, 1 Au 2.74, 2 Zn 2.74-2.86
Au  0.7674  0.4136  0.8378  2 Sb 2.68-2.72, 1 Au 2.74, 2 Zn 2.74-2.86
Au  0.7674  0.8538  0.9296  2 Sb 2.68-2.72, 1 Au 2.74, 2 Zn 2.74-2.86
Au  0.8378  0.5704  0.4242  2 Sb 2.68-2.72, 1 Au 2.74, 2 Zn 2.74-2.86
Au  0.8378  0.7674  0.4136  2 Sb 2.68-2.72, 1 Au 2.74, 2 Zn 2.74-2.86
Au  0.8538  0.4242  0.0864  2 Sb 2.68-2.72, 1 Au 2.74, 2 Zn 2.74-2.86
Au  0.8538  0.9296  0.7674  2 Sb 2.68-2.72, 1 Au 2.74, 2 Zn 2.74-2.86
Au  0.9136  0.1462  0.5758  2 Sb 2.68-2.72, 1 Au 2.74, 2 Zn 2.74-2.86
Au  0.9136  0.2674  0.3378  2 Sb 2.68-2.72, 1 Au 2.74, 2 Zn 2.74-2.86
Au  0.9242  0.0704  0.3378  2 Sb 2.68-2.72, 1 Au 2.74, 2 Zn 2.74-2.86
Au  0.9242  0.3538  0.5864  2 Sb 2.68-2.72, 1 Au 2.74, 2 Zn 2.74-2.86
Au  0.9296  0.6622  0.0758  2 Sb 2.68-2.72, 1 Au 2.74, 2 Zn 2.74-2.86
Au  0.9296  0.7674  0.8538  2 Sb 2.68-2.72, 1 Au 2.74, 2 Zn 2.74-2.86

Output
DOS(E_F) (states/eV per atom): 0.31
Uncorrected formation energy (meV/atom): 50

***

The following is a PBE calculation of crystalline ZnSbAu4 at its relaxed geometry, from Alexandria via LeMat-Bulk.

Unit cell a=4.3910 b=4.3910 c=6.6270 alpha=90.00 beta=90.00 gamma=90.00
Last column: nearest neighbours and their distance in Å.
Atoms (fractional coordinates):
Zn  0.0000  0.0000  0.0000  8 Au 2.65
Sb  0.5000  0.5000  0.5000  8 Au 2.86
Au  0.0000  0.5000  0.2244  2 Zn 2.65, 2 Sb 2.86
Au  0.0000  0.5000  0.7756  2 Zn 2.65, 2 Sb 2.86
Au  0.5000  0.0000  0.2244  2 Zn 2.65, 2 Sb 2.86
Au  0.5000  0.0000  0.7756  2 Zn 2.65, 2 Sb 2.86

Output
DOS(E_F) (states/eV per atom): 0.48
Uncorrected formation energy (meV/atom): -4

***

The following is a PBE calculation of crystalline ZnSb4Au at its relaxed geometry, from Alexandria via LeMat-Bulk.

Unit cell a=6.1703 b=6.1703 c=6.1703 alpha=60.00 beta=60.00 gamma=60.00
Last column: nearest neighbours and their distance in Å.
Atoms (fractional coordinates):
Zn  0.0000  0.0000  0.0000  12 Sb 3.61, 4 Au 3.78
Sb  0.3732  0.3732  0.3732  6 Sb 3.04-3.13
Sb  0.3732  0.3732  0.8804  6 Sb 3.04-3.13
Sb  0.3732  0.8804  0.3732  6 Sb 3.04-3.13
Sb  0.8804  0.3732  0.3732  6 Sb 3.04-3.13
Au  0.7500  0.7500  0.7500  12 Sb 3.62, 4 Zn 3.78

Output
DOS(E_F) (states/eV per atom): 0.65
Uncorrected formation energy (meV/atom): 489